First-principles (GGA-PBE) data for Ga2Cu2Au after structural relaxation, as listed in Alexandria.

Unit cell a=3.6821 b=3.6821 c=11.7668 alpha=90.00 beta=90.00 gamma=90.00
Closest atoms and distances in Å follow each position.
Space group I4/mmm (No. 139)
Asymmetric unit:
Ga (0.0000, 0.5000, 0.2500) (multiplicity 4)  4 Cu 2.54, 4 Ga 2.60
Cu (0.0000, 0.0000, 0.1011) (multiplicity 4)  1 Cu 2.38, 4 Ga 2.54
Au (0.0000, 0.0000, 0.5000) (multiplicity 2)  8 Cu 2.86

Values from the calculation:
Formation energy (meV/atom): 70.7
Polymorph energy (0 for the lowest one) (eV/atom): 0.145
Electronic total energy (eV per atom): -3.434
Crystal system: tetragonal